DFT (PBE with a Hubbard U) results for BaTiMn2Si2O10 after structural relaxation.

Lattice parameters (Å, degrees): 5.377 6.913 11.418 90.00 95.11 90.00
Element x y z (fractional)
Ba1 0.236 0.250 0.069
Ba2 0.764 0.750 0.931
Ti1 0.278 0.750 0.167
Ti2 0.722 0.250 0.833
Mn1 0.004 0.250 0.500
Mn2 0.500 0.000 0.500
Mn3 0.500 0.500 0.500
Mn4 0.996 0.750 0.500
Si1 0.204 0.520 0.745
Si2 0.204 0.980 0.745
Si3 0.796 0.020 0.255
Si4 0.796 0.480 0.255
O1 0.005 0.562 0.174
O2 0.005 0.938 0.174
O3 0.150 0.011 0.601
O4 0.150 0.489 0.601
O5 0.186 0.750 0.766
O6 0.294 0.750 0.016
O7 0.307 0.750 0.432
O8 0.313 0.250 0.431
O9 0.487 0.045 0.789
O10 0.487 0.455 0.789
O11 0.513 0.545 0.211
O12 0.513 0.955 0.211
O13 0.687 0.750 0.569
O14 0.693 0.250 0.568
O15 0.706 0.250 0.984
O16 0.814 0.250 0.234
O17 0.850 0.511 0.399
O18 0.850 0.989 0.399
O19 0.995 0.062 0.826
O20 0.995 0.438 0.826

Space group: P2_1/m
Total moment, μB per cell: 16.00
DFT total energy, eV/f.u.: -124.744